No. 1
LaCoTc | OQMD via LeMat-Bulk | PBE | optimized geometry; uncorrected energy = -6.276 eV per atom; E above lowest polymorph = 572 meV per atom; E_form = 3.56 eV per formula unit
1.0
-2.0516 -3.5744 1.5768
-0.5154 -0.5077 4.3529
-4.0090 0.3737 1.8055
Co La Tc
1 1 1
Direct
0.2500 0.2500 0.2500 Co
0.0000 0.0000 0.0000 La
0.7500 0.7500 0.7500 Tc

***

No. 2
Mg2TaZn | OQMD via LeMat-Bulk | PBE | optimized geometry; uncorrected energy = -3.668 eV per atom
1.0
4.4233 0.4825 1.4232
1.3259 -1.7291 4.1323
2.8154 -3.7235 0.1791
Mg Ta Zn
2 1 1
Direct
0.0000 0.0000 0.0000 Mg
0.7500 0.7500 0.7500 Mg
0.2500 0.2500 0.2500 Ta
0.5000 0.5000 0.5000 Zn